Record 1
Entry from Alexandria via LeMat-Bulk: a relaxed structure of Tc2ClF (GGA-PBE).

Output
- formation energy without anion corrections (eV/atom) = 0.659
- calculated volume (Å³/atom) = 16.81

Lattice parameters (Å, degrees): 5.143 5.143 10.167 90.00 90.00 90.00
Atoms (fractional coordinates):
Tc1 0.232 0.250 0.125
Tc2 0.250 0.732 0.375
Tc3 0.250 0.768 0.875
Tc4 0.268 0.250 0.625
Tc5 0.732 0.750 0.625
Tc6 0.750 0.232 0.875
Tc7 0.750 0.268 0.375
Tc8 0.768 0.750 0.125
Cl1 0.000 0.000 0.000
Cl2 0.000 0.500 0.250
Cl3 0.500 0.000 0.750
Cl4 0.500 0.500 0.500
F1 0.000 0.000 0.500
F2 0.000 0.500 0.750
F3 0.500 0.000 0.250
F4 0.500 0.500 0.000

***

Record 2
Entry from Alexandria via LeMat-Bulk: a relaxed structure of Tl2TcCl4F2 (GGA-PBE).

Output
- formation energy without anion corrections (eV/atom) = -1.279
- calculated volume (Å³/atom) = 26.34

Lattice parameters (Å, degrees): 6.730 6.730 6.140 105.21 105.21 63.65
Atoms (fractional coordinates):
Tl1 0.195 0.195 0.275
Tl2 0.805 0.805 0.725
Tc1 0.500 0.500 0.000
Cl1 0.180 0.657 0.183
Cl2 0.343 0.820 0.817
Cl3 0.657 0.180 0.183
Cl4 0.820 0.343 0.817
F1 0.347 0.347 0.740
F2 0.653 0.653 0.260

***

Record 3
Entry from Alexandria via LeMat-Bulk: a relaxed structure of Tl2TcClF5 (GGA-PBE).

Output
- formation energy without anion corrections (eV/atom) = -1.863
- calculated volume (Å³/atom) = 20.85

Lattice parameters (Å, degrees): 6.364 6.364 6.364 117.90 117.90 93.68
Atoms (fractional coordinates):
Tl1 0.000 0.500 0.500
Tl2 0.500 0.000 0.500
Tc1 0.258 0.258 0.000
Cl1 0.530 0.530 0.000
F1 0.032 0.032 0.000
F2 0.044 0.044 0.576
F3 0.044 0.468 0.000
F4 0.468 0.044 0.000
F5 0.468 0.468 0.424

***

Record 4
Entry from Alexandria via LeMat-Bulk: a relaxed structure of TeClF3 (GGA-PBE).

Output
- formation energy without anion corrections (eV/atom) = -1.740
- calculated volume (Å³/atom) = 24.36

Lattice parameters (Å, degrees): 6.542 6.542 11.386 90.00 90.00 90.00
Atoms (fractional coordinates):
Te1 0.160 0.326 0.000
Te2 0.326 0.840 0.750
Te3 0.674 0.160 0.250
Te4 0.840 0.674 0.500
Cl1 0.108 0.621 0.110
Cl2 0.379 0.108 0.360
Cl3 0.621 0.892 0.860
Cl4 0.892 0.379 0.610
F1 0.034 0.830 0.614
F2 0.083 0.631 0.413
F3 0.170 0.034 0.864
F4 0.295 0.493 0.875
F5 0.369 0.083 0.663
F6 0.493 0.705 0.625
F7 0.507 0.295 0.125
F8 0.631 0.917 0.163
F9 0.705 0.507 0.375
F10 0.830 0.966 0.364
F11 0.917 0.369 0.913
F12 0.966 0.170 0.114

***

Record 5
Entry from Alexandria via LeMat-Bulk: a relaxed structure of Te2ClF (GGA-PBE).

Output
- formation energy without anion corrections (eV/atom) = -0.382
- calculated volume (Å³/atom) = 22.90

Lattice parameters (Å, degrees): 3.369 3.369 27.968 90.00 90.00 120.00
Atoms (fractional coordinates):
Te1 0.000 0.000 0.080
Te2 0.000 0.000 0.920
Te3 0.333 0.667 0.587
Te4 0.333 0.667 0.747
Te5 0.667 0.333 0.253
Te6 0.667 0.333 0.413
Cl1 0.000 0.000 0.500
Cl2 0.333 0.667 0.167
Cl3 0.667 0.333 0.833
F1 0.000 0.000 0.000
F2 0.333 0.667 0.667
F3 0.667 0.333 0.333

***

Record 6
Entry from Alexandria via LeMat-Bulk: a relaxed structure of TeClF3 (GGA-PBE).

Output
- formation energy without anion corrections (eV/atom) = -1.204
- calculated volume (Å³/atom) = 16.17

Lattice parameters (Å, degrees): 4.324 4.324 4.324 90.00 90.00 90.00
Atoms (fractional coordinates):
Te1 0.000 0.000 0.000
Cl1 0.500 0.500 0.500
F1 0.000 0.000 0.500
F2 0.000 0.500 0.000
F3 0.500 0.000 0.000

***

Record 7
Entry from Alexandria via LeMat-Bulk: a relaxed structure of TeCl3F (GGA-PBE).

Output
- formation energy without anion corrections (eV/atom) = -0.257
- calculated volume (Å³/atom) = 27.56

Lattice parameters (Å, degrees): 5.165 5.165 5.165 90.00 90.00 90.00
Atoms (fractional coordinates):
Te1 0.000 0.000 0.000
Cl1 0.000 0.000 0.500
Cl2 0.000 0.500 0.000
Cl3 0.500 0.000 0.000
F1 0.500 0.500 0.500

***

Record 8
Entry from Alexandria via LeMat-Bulk: a relaxed structure of TeClF3 (GGA-PBE).

Output
- formation energy without anion corrections (eV/atom) = -1.677
- calculated volume (Å³/atom) = 20.96

Lattice parameters (Å, degrees): 7.369 5.243 5.426 90.00 90.00 90.00
Atoms (fractional coordinates):
Te1 0.000 0.028 0.000
Te2 0.500 0.972 0.500
Cl1 0.000 0.644 0.747
Cl2 0.500 0.356 0.247
F1 0.000 0.254 0.285
F2 0.193 0.866 0.176
F3 0.307 0.134 0.676
F4 0.500 0.746 0.785
F5 0.693 0.134 0.676
F6 0.807 0.866 0.176

***

Number 1: calculated total energy -5.45 eV/atom. Number 2: calculated total energy -4.19 eV/atom. Number 3: calculated total energy -4.79 eV/atom. Number 4: calculated total energy -3.86 eV/atom. Number 5: calculated total energy -2.88 eV/atom. Number 6: calculated total energy -3.32 eV/atom. Number 7: calculated total energy -2.37 eV/atom. Number 8: calculated total energy -3.80 eV/atom.